# PBE-GGA PrDy2Zn2In2, optimized geometry
data_PrDy2Zn2In2
_symmetry_space_group_name_H-M 'P 1'
_symmetry_Int_Tables_number 1
_cell_length_a 4.743
_cell_length_b 4.743
_cell_length_c 9.639
_cell_angle_alpha 75.76
_cell_angle_beta 75.76
_cell_angle_gamma 60.00
loop_
_symmetry_equiv_pos_as_xyz
'x,y,z'
loop_
_atom_site_label
_atom_site_fract_x
_atom_site_fract_y
_atom_site_fract_z
_atom_site_occupancy
In1 0.740 0.740 0.779 1
In2 0.260 0.260 0.221 1
Dy1 0.871 0.871 0.387 1
Dy2 0.129 0.129 0.613 1
Zn1 0.593 0.593 0.221 1
Zn2 0.407 0.407 0.779 1
Pr1 0.000 0.000 0.000 1
# E_form ... -197 kJ/mol of formula units


# PBE-GGA K2RePt, optimized geometry
data_K2RePt
_symmetry_space_group_name_H-M 'P 1'
_symmetry_Int_Tables_number 1
_cell_length_a 4.139
_cell_length_b 2.820
_cell_length_c 10.523
_cell_angle_alpha 75.32
_cell_angle_beta 90.00
_cell_angle_gamma 90.00
loop_
_symmetry_equiv_pos_as_xyz
'x,y,z'
loop_
_atom_site_label
_atom_site_fract_x
_atom_site_fract_y
_atom_site_fract_z
_atom_site_occupancy
K1 0.500 0.146 0.342 1
K2 0.000 0.098 0.914 1
Pt1 0.000 0.415 0.584 1
Re1 0.500 0.842 0.661 1
# Relative energy among the computed polymorphs ... 0.00 eV per formula unit
# E_form ... 191 kJ/mol of formula units


Q: What is the E_form in the second record?
A: 191 kJ/mol of formula units


Q: Among the records above, which one has the lowest E_form?
A: PrDy2Zn2In2